# FeGeSO2, optimized geometry, DFT PBE with a Hubbard U
# **Magnetization**: 0.806 μB/atom
# **VASP energy**: -5.501 eV per atom
data_FeGeSO2
_cell_length_a 3.664
_cell_length_b 5.150
_cell_length_c 3.664
_cell_angle_alpha 90.00
_cell_angle_beta 90.00
_cell_angle_gamma 90.00
_symmetry_space_group_name_H-M 'P 1'
_symmetry_Int_Tables_number 1
_symmetry_space_group_name_Hall 'P 1'
loop_
_atom_site_label
_atom_site_type_symbol
_atom_site_fract_x
_atom_site_fract_y
_atom_site_fract_z
O1 O 0.000 0.000 0.500
S1 S 0.000 0.500 0.000
Fe1 Fe 0.500 0.500 0.500
O2 O 0.500 0.000 0.000
Ge1 Ge 0.000 0.000 0.000